VASP calculation (PBE) on a relaxed structure of AlHgI2N.

```
5
Lattice="6.242 0.000 0.000 0.000 6.242 0.000 0.000 0.000 4.216" Properties=species:S:1:pos:R:3 pbc="T T T"
I 3.121 0.000 0.000
Hg 0.000 0.000 0.000
N 0.000 0.000 2.108
I 0.000 3.121 0.000
Al 3.121 3.121 2.108
```

Values from the calculation:
Spin magnetization (μB/cell): 2.0
Formation energy from raw total energies (meV/atom): 851.7



VASP calculation (PBE) on a relaxed structure of Y2Pd8Pb.

```
11
Lattice="-0.134 -5.071 -0.298 5.818 -0.183 0.451 -3.478 -0.365 6.746" Properties=species:S:1:pos:R:3 pbc="T T T"
Y -0.493 -4.437 4.469
Pd 1.166 -3.610 2.199
Pd -1.888 -1.917 4.474
Pb -0.067 -2.535 -0.149
Pd -2.201 -5.479 6.557
Pd 2.428 -4.571 4.529
Pd -0.222 -1.048 2.369
Pd 4.094 -3.702 2.425
Y 2.698 -1.182 2.429
Pd 1.040 -2.009 4.700
Pd 4.406 -0.140 0.342
```

Values from the calculation:
Energy relative to the elements (eV/atom): -0.57
Spin magnetization (μB/cell): 0.0



VASP calculation (PBE) on a relaxed structure of Ce2Fe7.

```
18
Lattice="-1.811 -2.126 4.170 -3.905 -3.140 -0.276 5.846 -11.265 -0.183" Properties=species:S:1:pos:R:3 pbc="T T T"
Fe 0.065 -8.266 1.856
Fe 1.344 -9.708 0.169
Fe 2.389 -9.201 2.388
Fe 0.753 -13.203 2.658
Fe -0.624 -3.328 1.053
Fe -2.858 -2.633 1.947
Fe -0.906 -1.063 2.085
Fe 2.669 -11.460 1.358
Fe -1.214 -6.824 3.542
Ce -2.230 -9.543 3.228
Fe -2.259 -7.330 1.323
Fe -1.953 -1.570 -0.138
Fe -2.539 -5.072 2.353
Fe 0.440 -10.769 2.250
Ce 2.360 -6.988 0.483
Fe -0.310 -5.763 1.461
Ce 4.639 -9.784 0.048
Ce -4.509 -6.748 3.663
```

Values from the calculation:
Energy relative to the elements (eV/atom): -0.04
Spin magnetization (μB/cell): 25.8



VASP calculation (PBE) on a relaxed structure of Al2AsSe.

```
4
Lattice="3.636 0.020 0.000 -1.788 3.166 0.000 0.000 0.000 7.194" Properties=species:S:1:pos:R:3 pbc="T T T"
As 0.924 1.593 1.798
Se 0.924 1.593 5.395
Al 0.000 0.000 3.548
Al 0.000 0.000 0.049
```

Values from the calculation:
Spin magnetization (μB/cell): 0.0
Formation energy from raw total energies (meV/atom): -46.5



VASP calculation (PBE) on a relaxed structure of VTcC3.

```
5
Lattice="3.852 0.000 0.000 0.000 3.852 0.000 0.000 0.000 3.852" Properties=species:S:1:pos:R:3 pbc="T T T"
C 1.926 0.000 0.000
C 0.000 1.926 0.000
V 0.000 0.000 0.000
C 0.000 0.000 1.926
Tc 1.926 1.926 1.926
```

Values from the calculation:
Energy relative to the elements (eV/atom): 2.00
Spin magnetization (μB/cell): 2.8



VASP calculation (PBE) on a relaxed structure of TaPdAu.

```
3
Lattice="2.768 0.000 0.000 0.000 4.581 0.000 0.000 -2.291 3.967" Properties=species:S:1:pos:R:3 pbc="T T T"
Ta 0.001 0.000 0.000
Au 1.383 2.291 1.322
Pd 1.384 0.000 2.645
```

Values from the calculation:
Energy relative to the elements (eV/atom): -0.18
Spin magnetization (μB/cell): 0.0